No. 1
The following is a DFT calculation (PBE) of an optimized crystal structure of SrMnCd3.

Output
- Calculated total energy: -2.4203 eV per atom
- Symmetry: No. 221
- Formation energy from the elements: 0.299 eV/atom

Cell lengths 5.094, 5.094, 5.094 Å; angles 90.00, 90.00, 90.00 degrees
Positions (direct):
Cd 0.000 0.000 0.500
Sr 0.500 0.500 0.500
Cd 0.000 0.500 0.000
Mn 0.000 0.000 0.000
Cd 0.500 0.000 0.000



No. 2
The following is a DFT calculation (PBE) of an optimized crystal structure of SrMnCd2.

Output
- Calculated total energy: -3.1106 eV per atom
- Symmetry: No. 47
- Formation energy from the elements: 0.060 eV/atom

Cell lengths 3.552, 3.627, 8.485 Å; angles 64.67, 90.00, 90.00 degrees
Site moments in Bohr magnetons follow the coordinates.
Positions (direct):
Cd 0.000 0.944 0.055  -0.05
Sr 0.500 0.750 0.750  -0.03
Mn 0.500 0.250 0.250  3.85
Cd 0.000 0.556 0.445  -0.05



No. 3
The following is a DFT calculation (PBE) of an optimized crystal structure of SrMn3Cd.

Output
- Calculated total energy: -5.1317 eV per atom
- Symmetry: No. 221
- Formation energy from the elements: 0.889 eV/atom

Cell lengths 5.135, 5.135, 5.135 Å; angles 90.00, 90.00, 90.00 degrees
Site moments in Bohr magnetons follow the coordinates.
Positions (direct):
Mn 0.500 0.000 0.000  3.83
Sr 0.500 0.500 0.500  -0.04
Mn 0.000 0.000 0.500  4.13
Mn 0.000 0.500 0.000  4.04
Cd 0.000 0.000 0.000  -0.03



No. 4
The following is a DFT calculation (PBE) of an optimized crystal structure of SrMnCd2.

Output
- Calculated total energy: -3.1221 eV per atom
- Symmetry: No. 12
- Formation energy from the elements: 0.048 eV/atom

Cell lengths 4.793, 4.793, 6.210 Å; angles 67.22, 67.22, 60.03 degrees
Site moments in Bohr magnetons follow the coordinates.
Positions (direct):
Cd 0.545 0.545 0.363  -0.04
Mn 0.250 0.250 0.250  3.88
Cd 0.955 0.955 0.137  -0.04
Sr 0.750 0.750 0.750  -0.03



No. 5
The following is a DFT calculation (PBE) of an optimized crystal structure of TaMnCd2.

Output
- Calculated total energy: -5.3177 eV per atom
- Symmetry: No. 71
- Formation energy from the elements: 0.395 eV/atom

Cell lengths 5.676, 5.676, 5.676 Å; angles 147.29, 132.51, 58.86 degrees
Site moments in Bohr magnetons follow the coordinates.
Positions (direct):
Cd 0.983 0.983 0.000  -0.02
Cd 0.517 0.517 0.000  -0.02
Mn 0.750 0.250 0.500  2.89
Ta 0.250 0.750 0.500  -0.65



No. 6
The following is a DFT calculation (PBE) of an optimized crystal structure of Ta3MnCd.

Output
- Calculated total energy: -8.3774 eV per atom
- Symmetry: No. 221
- Formation energy from the elements: 0.751 eV/atom

Cell lengths 4.624, 4.624, 4.624 Å; angles 90.00, 90.00, 90.00 degrees
Positions (direct):
Cd 0.500 0.500 0.500
Ta 0.000 0.500 0.000
Mn 0.000 0.000 0.000
Ta 0.000 0.000 0.500
Ta 0.500 0.000 0.000



No. 7
The following is a DFT calculation (PBE) of an optimized crystal structure of TaMnCd2.

Output
- Calculated total energy: -5.3149 eV per atom
- Symmetry: No. 65
- Formation energy from the elements: 0.398 eV/atom

Cell lengths 5.374, 5.374, 2.835 Å; angles 90.00, 90.00, 115.47 degrees
Site moments in Bohr magnetons follow the coordinates.
Positions (direct):
Mn 0.500 0.000 0.500  3.43
Ta 0.000 0.500 0.500  -0.28
Cd 0.500 0.500 0.000  -0.03
Cd 0.000 0.000 0.000  -0.03



No. 8
The following is a DFT calculation (PBE) of an optimized crystal structure of TaMn3Cd.

Output
- Calculated total energy: -6.8337 eV per atom
- Symmetry: No. 221
- Formation energy from the elements: 1.222 eV/atom

Cell lengths 4.699, 4.699, 4.699 Å; angles 90.00, 90.00, 90.00 degrees
Site moments in Bohr magnetons follow the coordinates.
Positions (direct):
Mn 0.000 0.500 0.000  3.02
Mn 0.500 0.000 0.000  3.20
Mn 0.000 0.000 0.500  2.79
Cd 0.500 0.500 0.500  -0.05
Ta 0.000 0.000 0.000  -0.94



No. 9
The following is a DFT calculation (PBE) of an optimized crystal structure of TaMnCd2.

Output
- Calculated total energy: -5.3884 eV per atom
- Symmetry: No. 123
- Formation energy from the elements: 0.325 eV/atom

Cell lengths 2.921, 2.921, 8.637 Å; angles 90.00, 90.00, 89.96 degrees
Site moments in Bohr magnetons follow the coordinates.
Positions (direct):
Cd 0.000 0.000 0.012  -0.04
Ta 0.500 0.500 0.750  -0.05
Cd 0.000 0.000 0.488  -0.04
Mn 0.500 0.500 0.250  3.71



No. 10
The following is a DFT calculation (PBE) of an optimized crystal structure of TaMn2Cd.

Output
- Calculated total energy: -7.0164 eV per atom
- Symmetry: No. 122
- Formation energy from the elements: 0.760 eV/atom

Cell lengths 7.056, 7.056, 5.723 Å; angles 51.94, 51.94, 90.00 degrees
Site moments in Bohr magnetons follow the coordinates.
Positions (direct):
Mn 0.107 0.625 0.250  2.71
Mn 0.643 0.125 0.250  2.74
Ta 0.750 0.250 0.500  -0.80
Mn 0.375 0.357 0.750  2.75
Ta 0.000 0.000 0.000  -0.81
Cd 0.500 0.500 0.000  -0.05
Cd 0.250 0.750 0.500  -0.05
Mn 0.875 0.893 0.750  2.72



No. 11
The following is a DFT calculation (PBE) of an optimized crystal structure of TaMnCd2.

Output
- Calculated total energy: -4.9139 eV per atom
- Symmetry: No. 225
- Formation energy from the elements: 0.799 eV/atom

Cell lengths 4.605, 4.605, 4.605 Å; angles 60.00, 60.00, 60.00 degrees
Positions (direct):
Cd 0.250 0.250 0.250
Ta 0.500 0.500 0.500
Mn 0.000 0.000 0.000
Cd 0.750 0.750 0.750



No. 12
The following is a DFT calculation (PBE) of an optimized crystal structure of Ta3MnCd.

Output
- Calculated total energy: -6.3915 eV per atom
- Symmetry: No. 221
- Formation energy from the elements: 2.737 eV/atom

Cell lengths 4.909, 4.909, 4.909 Å; angles 90.00, 90.00, 90.00 degrees
Site moments in Bohr magnetons follow the coordinates.
Positions (direct):
Mn 0.500 0.500 0.500  -0.38
Cd 0.000 0.000 0.000  0.00
Ta 0.500 0.000 0.000  -0.04
Ta 0.000 0.500 0.000  -0.02
Ta 0.000 0.000 0.500  0.07



No. 13
The following is a DFT calculation (PBE) of an optimized crystal structure of Ta2MnCd.

Output
- Calculated total energy: -8.0618 eV per atom
- Symmetry: No. 139
- Formation energy from the elements: 0.386 eV/atom

Cell lengths 4.916, 4.916, 4.916 Å; angles 130.73, 130.73, 72.25 degrees
Positions (direct):
Ta 0.000 0.000 0.000
Mn 0.750 0.250 0.500
Cd 0.250 0.750 0.500
Ta 0.500 0.500 0.000



No. 14
The following is a DFT calculation (PBE) of an optimized crystal structure of Ta2MnCd.

Output
- Calculated total energy: -8.2517 eV per atom
- Symmetry: No. 99
- Formation energy from the elements: 0.196 eV/atom

Cell lengths 3.110, 3.110, 7.126 Å; angles 90.00, 90.00, 90.00 degrees
Site moments in Bohr magnetons follow the coordinates.
Positions (direct):
Mn 0.500 0.500 0.780  1.16
Ta 0.000 0.000 0.961  -0.24
Ta 0.500 0.500 0.232  -0.12
Cd 0.000 0.000 0.527  -0.03



No. 15
The following is a DFT calculation (PBE) of an optimized crystal structure of TaMnCd2.

Output
- Calculated total energy: -5.3679 eV per atom
- Symmetry: No. 8
- Formation energy from the elements: 0.345 eV/atom

Cell lengths 4.964, 4.964, 5.455 Å; angles 81.51, 81.51, 33.68 degrees
Site moments in Bohr magnetons follow the coordinates.
Positions (direct):
Cd 0.001 0.001 0.002  -0.03
Mn 0.496 0.496 0.537  3.10
Ta 0.759 0.759 0.717  -0.34
Cd 0.244 0.244 0.244  -0.01



No. 16
The following is a DFT calculation (PBE) of an optimized crystal structure of TaMnCd2.

Output
- Calculated total energy: -5.2678 eV per atom
- Symmetry: No. 119
- Formation energy from the elements: 0.445 eV/atom

Cell lengths 4.992, 4.992, 4.992 Å; angles 129.38, 129.38, 74.41 degrees
Site moments in Bohr magnetons follow the coordinates.
Positions (direct):
Cd 0.250 0.750 0.500  -0.01
Ta 0.750 0.250 0.500  -0.70
Cd 0.000 0.000 0.000  -0.03
Mn 0.500 0.500 0.000  3.08



No. 17
The following is a DFT calculation (PBE) of an optimized crystal structure of TaMn2Cd.

Output
- Calculated total energy: -7.5517 eV per atom
- Symmetry: No. 123
- Formation energy from the elements: 0.225 eV/atom

Cell lengths 4.292, 4.292, 3.291 Å; angles 90.00, 90.00, 90.00 degrees
Site moments in Bohr magnetons follow the coordinates.
Positions (direct):
Mn 0.000 0.000 0.000  2.02
Mn 0.500 0.500 0.000  2.02
Ta 0.500 0.000 0.500  -0.68
Cd 0.000 0.500 0.500  -0.06



No. 18
The following is a DFT calculation (PBE) of an optimized crystal structure of Ta2MnCd.

Output
- Calculated total energy: -8.1553 eV per atom
- Symmetry: No. 44
- Formation energy from the elements: 0.292 eV/atom

Cell lengths 5.438, 5.438, 5.438 Å; angles 146.40, 129.72, 61.84 degrees
Positions (direct):
Cd 0.476 0.476 0.000
Mn 0.237 0.737 0.500
Ta 0.032 0.032 0.000
Ta 0.756 0.256 0.500



No. 19
The following is a DFT calculation (PBE) of an optimized crystal structure of Ta2MnCd.

Output
- Calculated total energy: -8.1460 eV per atom
- Symmetry: No. 47
- Formation energy from the elements: 0.302 eV/atom

Cell lengths 3.683, 4.247, 4.425 Å; angles 90.00, 90.00, 90.00 degrees
Site moments in Bohr magnetons follow the coordinates.
Positions (direct):
Ta 0.000 0.000 0.000  -0.18
Mn 0.000 0.500 0.500  2.85
Ta 0.500 0.500 0.000  -0.34
Cd 0.500 0.000 0.500  -0.03



No. 20
The following is a DFT calculation (PBE) of an optimized crystal structure of Ta2MnCd.

Output
- Calculated total energy: -8.1154 eV per atom
- Symmetry: No. 12
- Formation energy from the elements: 0.332 eV/atom

Cell lengths 5.205, 6.065, 2.825 Å; angles 68.17, 86.86, 118.79 degrees
Site moments in Bohr magnetons follow the coordinates.
Positions (direct):
Ta 0.000 0.500 0.500  -0.21
Ta 0.000 0.000 0.000  -0.21
Cd 0.500 0.500 0.000  -0.01
Mn 0.500 0.000 0.500  2.85